Entry 1:
# HfZrGa | Alexandria via LeMat-Bulk | PBE-GGA | optimized geometry
# Magnetization: 0.000 μB per cell
# Formation energy from the elements: -0.4363 eV per atom
# Energy above the lowest structure with this stoichiometry: 0.0 meV per atom
data_HfZrGa
_cell_length_a 5.375
_cell_length_b 9.407
_cell_length_c 9.576
_cell_angle_alpha 90.00
_cell_angle_beta 90.00
_cell_angle_gamma 90.00
_space_group_name_H-M_alt 'F m m m'
_space_group_IT_number 69
_space_group_name_Hall '-F 2 2'
loop_
_atom_site_label
_atom_site_type_symbol
_atom_site_fract_x
_atom_site_fract_y
_atom_site_fract_z
Hf1 Hf 0.000 0.000 0.155
Zr1 Zr 0.000 0.152 0.500
Ga1 Ga 0.250 0.250 0.250

---

Entry 2:
# Hf5ZrGa2 | Alexandria via LeMat-Bulk | PBE-GGA | optimized geometry
# Magnetization: 0.000 μB per cell
# Formation energy from the elements: -0.1577 eV per atom
data_Hf5ZrGa2
_cell_length_a 3.224
_cell_length_b 9.534
_cell_length_c 10.959
_cell_angle_alpha 90.00
_cell_angle_beta 90.00
_cell_angle_gamma 90.00
_space_group_name_H-M_alt 'I m m m'
_space_group_IT_number 71
_space_group_name_Hall '-I 2 2'
loop_
_atom_site_label
_atom_site_type_symbol
_atom_site_fract_x
_atom_site_fract_y
_atom_site_fract_z
Hf1 Hf 0.000 0.000 0.000
Hf2 Hf 0.000 0.277 0.364
Zr1 Zr 0.000 0.500 0.000
Ga1 Ga 0.000 0.000 0.265

---

Entry 3:
# HfZr8Ga2 | Alexandria via LeMat-Bulk | PBE-GGA | optimized geometry
# Magnetization: 0.000 μB per cell
# Formation energy from the elements: -0.0856 eV per atom
data_HfZr8Ga2
_cell_length_a 8.016
_cell_length_b 13.061
_cell_length_c 5.215
_cell_angle_alpha 90.00
_cell_angle_beta 115.78
_cell_angle_gamma 90.00
_space_group_name_H-M_alt 'C 1 2/m 1'
_space_group_IT_number 12
_space_group_name_Hall '-C 2y'
loop_
_atom_site_label
_atom_site_type_symbol
_atom_site_fract_x
_atom_site_fract_y
_atom_site_fract_z
Hf1 Hf 0.000 0.000 0.000
Zr1 Zr 0.000 0.224 0.000
Zr2 Zr 0.101 0.500 0.807
Zr3 Zr 0.206 0.116 0.607
Ga1 Ga 0.000 0.305 0.500

---

Entry 4:
# Hf5Zr2Ga4 | Alexandria via LeMat-Bulk | PBE-GGA | optimized geometry
# Magnetization: 0.001 μB per cell
# Formation energy from the elements: 0.2297 eV per atom
data_Hf5Zr2Ga4
_cell_length_a 2.984
_cell_length_b 6.560
_cell_length_c 25.044
_cell_angle_alpha 90.00
_cell_angle_beta 90.00
_cell_angle_gamma 90.00
_space_group_name_H-M_alt 'I m m m'
_space_group_IT_number 71
_space_group_name_Hall '-I 2 2'
loop_
_atom_site_label
_atom_site_type_symbol
_atom_site_fract_x
_atom_site_fract_y
_atom_site_fract_z
Hf1 Hf 0.000 0.000 0.000
Hf2 Hf 0.000 0.270 0.394
Zr1 Zr 0.000 0.500 0.288
Ga1 Ga 0.000 0.172 0.500
Ga2 Ga 0.000 0.500 0.177

---

Entry 5:
# HfZrGa2 | Alexandria via LeMat-Bulk | PBE-GGA | optimized geometry
# Magnetization: 0.000 μB per cell
# Formation energy from the elements: -0.5742 eV per atom
# Energy above the lowest structure with this stoichiometry: 0.0 meV per atom
data_HfZrGa2
_cell_length_a 3.920
_cell_length_b 3.831
_cell_length_c 5.463
_cell_angle_alpha 90.00
_cell_angle_beta 111.05
_cell_angle_gamma 90.00
_space_group_name_H-M_alt 'P 1 m 1'
_space_group_IT_number 6
_space_group_name_Hall 'P -2y'
loop_
_atom_site_label
_atom_site_type_symbol
_atom_site_fract_x
_atom_site_fract_y
_atom_site_fract_z
Hf1 Hf 0.000 0.000 0.000
Zr1 Zr 0.289 0.500 0.575
Ga1 Ga 0.563 0.500 0.125
Ga2 Ga 0.726 0.000 0.451

---

Entry 6:
# HfZr2Ga2 | Alexandria via LeMat-Bulk | PBE-GGA | optimized geometry
# Magnetization: 0.000 μB per cell
# Formation energy from the elements: -0.5297 eV per atom
# Energy above the lowest structure with this stoichiometry: 0.0 meV per atom
data_HfZr2Ga2
_cell_length_a 7.290
_cell_length_b 7.290
_cell_length_c 3.741
_cell_angle_alpha 90.00
_cell_angle_beta 90.00
_cell_angle_gamma 90.00
_space_group_name_H-M_alt 'P 4/m b m'
_space_group_IT_number 127
_space_group_name_Hall '-P 4 2ab'
loop_
_atom_site_label
_atom_site_type_symbol
_atom_site_fract_x
_atom_site_fract_y
_atom_site_fract_z
Hf1 Hf 0.000 0.000 0.000
Zr1 Zr 0.176 0.324 0.500
Ga1 Ga 0.124 0.624 0.000

---

Entry 7:
# Hf2ZrGa | Alexandria via LeMat-Bulk | PBE-GGA | optimized geometry
# Magnetization: 0.000 μB per cell
# Formation energy from the elements: -0.1111 eV per atom
# Energy above the lowest structure with this stoichiometry: 156.9 meV per atom
data_Hf2ZrGa
_cell_length_a 3.1982
_cell_length_b 3.1982
_cell_length_c 28.8726
_cell_angle_alpha 90.00
_cell_angle_beta 90.00
_cell_angle_gamma 120.00
_space_group_name_H-M_alt 'R 3 m'
_space_group_IT_number 160
_space_group_name_Hall 'R 3 -2"'
loop_
_atom_site_label
_atom_site_type_symbol
_atom_site_fract_x
_atom_site_fract_y
_atom_site_fract_z
Hf1 Hf 0.0000 0.0000 0.0000
Hf2 Hf 0.0000 0.0000 0.1745
Zr1 Zr 0.0000 0.0000 0.4201
Ga1 Ga 0.0000 0.0000 0.5872

---

Entry 8:
# Hf3Zr4Ga4 | Alexandria via LeMat-Bulk | PBE-GGA | optimized geometry
# Magnetization: 0.000 μB per cell
# Formation energy from the elements: -0.3346 eV per atom
data_Hf3Zr4Ga4
_cell_length_a 3.151
_cell_length_b 8.565
_cell_length_c 16.623
_cell_angle_alpha 90.00
_cell_angle_beta 90.00
_cell_angle_gamma 90.00
_space_group_name_H-M_alt 'I m m m'
_space_group_IT_number 71
_space_group_name_Hall '-I 2 2'
loop_
_atom_site_label
_atom_site_type_symbol
_atom_site_fract_x
_atom_site_fract_y
_atom_site_fract_z
Hf1 Hf 0.000 0.000 0.000
Hf2 Hf 0.000 0.500 0.094
Zr1 Zr 0.000 0.315 0.335
Ga1 Ga 0.000 0.000 0.270
Ga2 Ga 0.000 0.222 0.500

---

Entry 9:
# Hf2Zr2Ga | Alexandria via LeMat-Bulk | PBE-GGA | optimized geometry
# Magnetization: 0.000 μB per cell
# Formation energy from the elements: -0.0003 eV per atom
# Energy above the lowest structure with this stoichiometry: 0.0 meV per atom
data_Hf2Zr2Ga
_cell_length_a 7.297
_cell_length_b 7.297
_cell_length_c 4.132
_cell_angle_alpha 90.00
_cell_angle_beta 90.00
_cell_angle_gamma 90.00
_space_group_name_H-M_alt 'P 4/m b m'
_space_group_IT_number 127
_space_group_name_Hall '-P 4 2ab'
loop_
_atom_site_label
_atom_site_type_symbol
_atom_site_fract_x
_atom_site_fract_y
_atom_site_fract_z
Hf1 Hf 0.140 0.360 0.000
Zr1 Zr 0.163 0.663 0.500
Ga1 Ga 0.000 0.000 0.000

---

Entry 10:
# Hf4ZrGa4 | Alexandria via LeMat-Bulk | PBE-GGA | optimized geometry
# Magnetization: 0.001 μB per cell
# Formation energy from the elements: -0.1526 eV per atom
data_Hf4ZrGa4
_cell_length_a 8.323
_cell_length_b 8.323
_cell_length_c 5.164
_cell_angle_alpha 90.00
_cell_angle_beta 90.00
_cell_angle_gamma 90.00
_space_group_name_H-M_alt 'I 4/m'
_space_group_IT_number 87
_space_group_name_Hall '-I 4'
loop_
_atom_site_label
_atom_site_type_symbol
_atom_site_fract_x
_atom_site_fract_y
_atom_site_fract_z
Hf1 Hf 0.130 0.216 0.000
Zr1 Zr 0.000 0.000 0.500
Ga1 Ga 0.047 0.352 0.500

---

Entry 11:
# HfZr2Ga2 | Alexandria via LeMat-Bulk | PBE-GGA | optimized geometry
# Magnetization: 0.000 μB per cell
# Formation energy from the elements: -0.1587 eV per atom
# Energy above the lowest structure with this stoichiometry: 371.0 meV per atom
data_HfZr2Ga2
_cell_length_a 8.242
_cell_length_b 8.242
_cell_length_c 2.988
_cell_angle_alpha 90.00
_cell_angle_beta 90.00
_cell_angle_gamma 90.00
_space_group_name_H-M_alt 'P 4/m b m'
_space_group_IT_number 127
_space_group_name_Hall '-P 4 2ab'
loop_
_atom_site_label
_atom_site_type_symbol
_atom_site_fract_x
_atom_site_fract_y
_atom_site_fract_z
Hf1 Hf 0.000 0.000 0.000
Zr1 Zr 0.126 0.374 0.000
Ga1 Ga 0.173 0.673 0.500

---

Entry 12:
# Hf5ZrGa6 | Alexandria via LeMat-Bulk | PBE-GGA | optimized geometry
# Magnetization: 0.000 μB per cell
# Formation energy from the elements: -0.3323 eV per atom
data_Hf5ZrGa6
_cell_length_a 5.089
_cell_length_b 12.431
_cell_length_c 7.565
_cell_angle_alpha 90.00
_cell_angle_beta 102.42
_cell_angle_gamma 90.00
_space_group_name_H-M_alt 'C 1 2/m 1'
_space_group_IT_number 12
_space_group_name_Hall '-C 2y'
loop_
_atom_site_label
_atom_site_type_symbol
_atom_site_fract_x
_atom_site_fract_y
_atom_site_fract_z
Hf1 Hf 0.000 0.000 0.000
Hf2 Hf 0.000 0.330 0.500
Hf3 Hf 0.000 0.336 0.000
Zr1 Zr 0.000 0.000 0.500
Ga1 Ga 0.004 0.167 0.247
Ga2 Ga 0.014 0.500 0.746

---

Entry 13:
# HfZr5Ga2 | Alexandria via LeMat-Bulk | PBE-GGA | optimized geometry
# Magnetization: 0.000 μB per cell
# Formation energy from the elements: -0.1660 eV per atom
data_HfZr5Ga2
_cell_length_a 3.206
_cell_length_b 9.690
_cell_length_c 11.055
_cell_angle_alpha 90.00
_cell_angle_beta 90.00
_cell_angle_gamma 90.00
_space_group_name_H-M_alt 'I m m m'
_space_group_IT_number 71
_space_group_name_Hall '-I 2 2'
loop_
_atom_site_label
_atom_site_type_symbol
_atom_site_fract_x
_atom_site_fract_y
_atom_site_fract_z
Hf1 Hf 0.000 0.000 0.000
Zr1 Zr 0.000 0.225 0.365
Zr2 Zr 0.000 0.500 0.000
Ga1 Ga 0.000 0.500 0.267

---

Entry 14:
# Hf2ZrGa | Alexandria via LeMat-Bulk | PBE-GGA | optimized geometry
# Magnetization: 0.000 μB per cell
# Formation energy from the elements: -0.1908 eV per atom
# Energy above the lowest structure with this stoichiometry: 77.2 meV per atom
data_Hf2ZrGa
_cell_length_a 3.359
_cell_length_b 3.359
_cell_length_c 7.377
_cell_angle_alpha 90.00
_cell_angle_beta 90.00
_cell_angle_gamma 90.00
_space_group_name_H-M_alt 'P 4/m m m'
_space_group_IT_number 123
_space_group_name_Hall '-P 4 2'
loop_
_atom_site_label
_atom_site_type_symbol
_atom_site_fract_x
_atom_site_fract_y
_atom_site_fract_z
Hf1 Hf 0.000 0.000 0.226
Zr1 Zr 0.500 0.500 0.500
Ga1 Ga 0.500 0.500 0.000

---

Entry 15:
# Hf2Zr3Ga4 | Alexandria via LeMat-Bulk | PBE-GGA | optimized geometry
# Magnetization: 0.000 μB per cell
# Formation energy from the elements: -0.2433 eV per atom
data_Hf2Zr3Ga4
_cell_length_a 5.940
_cell_length_b 15.393
_cell_length_c 8.000
_cell_angle_alpha 90.00
_cell_angle_beta 90.00
_cell_angle_gamma 90.00
_space_group_name_H-M_alt 'C m c e'
_space_group_IT_number 64
_space_group_name_Hall '-C 2ac 2'
loop_
_atom_site_label
_atom_site_type_symbol
_atom_site_fract_x
_atom_site_fract_y
_atom_site_fract_z
Hf1 Hf 0.000 0.110 0.088
Zr1 Zr 0.000 0.000 0.500
Zr2 Zr 0.250 0.207 0.750
Ga1 Ga 0.000 0.176 0.436
Ga2 Ga 0.250 0.031 0.750

---

Entry 16:
# HfZrGa2 | Alexandria via LeMat-Bulk | PBE-GGA | optimized geometry
# Magnetization: 0.000 μB per cell
# Formation energy from the elements: -0.4639 eV per atom
# Energy above the lowest structure with this stoichiometry: 110.3 meV per atom
data_HfZrGa2
_cell_length_a 3.045
_cell_length_b 3.045
_cell_length_c 8.055
_cell_angle_alpha 90.00
_cell_angle_beta 90.00
_cell_angle_gamma 90.00
_space_group_name_H-M_alt 'P 4/m m m'
_space_group_IT_number 123
_space_group_name_Hall '-P 4 2'
loop_
_atom_site_label
_atom_site_type_symbol
_atom_site_fract_x
_atom_site_fract_y
_atom_site_fract_z
Hf1 Hf 0.000 0.000 0.000
Zr1 Zr 0.000 0.000 0.500
Ga1 Ga 0.500 0.500 0.248

---

Entry 17:
# HfZrGa2 | Alexandria via LeMat-Bulk | PBE-GGA | optimized geometry
# Magnetization: 0.000 μB per cell
# Formation energy from the elements: -0.4638 eV per atom
# Energy above the lowest structure with this stoichiometry: 110.4 meV per atom
data_HfZrGa2
_cell_length_a 4.301
_cell_length_b 4.301
_cell_length_c 4.041
_cell_angle_alpha 90.00
_cell_angle_beta 90.00
_cell_angle_gamma 90.00
_space_group_name_H-M_alt 'P 4/m m m'
_space_group_IT_number 123
_space_group_name_Hall '-P 4 2'
loop_
_atom_site_label
_atom_site_type_symbol
_atom_site_fract_x
_atom_site_fract_y
_atom_site_fract_z
Hf1 Hf 0.000 0.000 0.000
Zr1 Zr 0.500 0.500 0.000
Ga1 Ga 0.000 0.500 0.500

---

Entry 18:
# Ga3Hg | Alexandria via LeMat-Bulk | PBE-GGA | optimized geometry
# Magnetization: 0.000 μB per cell
# Formation energy from the elements: 0.0623 eV per atom
data_Ga3Hg
_cell_length_a 2.922
_cell_length_b 4.267
_cell_length_c 6.827
_cell_angle_alpha 90.00
_cell_angle_beta 90.00
_cell_angle_gamma 90.00
_space_group_name_H-M_alt 'P m m 2'
_space_group_IT_number 25
_space_group_name_Hall 'P 2 -2'
loop_
_atom_site_label
_atom_site_type_symbol
_atom_site_fract_x
_atom_site_fract_y
_atom_site_fract_z
Ga1 Ga 0.000 0.000 0.000
Ga2 Ga 0.000 0.500 0.264
Ga3 Ga 0.500 0.000 0.442
Hg1 Hg 0.500 0.500 0.751

---

Entry 19:
# Ga8Hg | Alexandria via LeMat-Bulk | PBE-GGA | optimized geometry
# Magnetization: 0.000 μB per cell
# Formation energy from the elements: 0.1416 eV per atom
data_Ga8Hg
_cell_length_a 10.269
_cell_length_b 10.269
_cell_length_c 4.044
_cell_angle_alpha 90.00
_cell_angle_beta 90.00
_cell_angle_gamma 90.00
_space_group_name_H-M_alt 'I 4/m m m'
_space_group_IT_number 139
_space_group_name_Hall '-I 4 2'
loop_
_atom_site_label
_atom_site_type_symbol
_atom_site_fract_x
_atom_site_fract_y
_atom_site_fract_z
Ga1 Ga 0.000 0.364 0.000
Ga2 Ga 0.193 0.193 0.000
Hg1 Hg 0.000 0.000 0.000

---

Entry 20:
# Ga13Hg2 | Alexandria via LeMat-Bulk | PBE-GGA | optimized geometry
# Magnetization: 0.000 μB per cell
# Formation energy from the elements: 0.1210 eV per atom
data_Ga13Hg2
_cell_length_a 7.3605
_cell_length_b 7.3605
_cell_length_c 23.6259
_cell_angle_alpha 90.00
_cell_angle_beta 90.00
_cell_angle_gamma 120.00
_space_group_name_H-M_alt 'R -3 m'
_space_group_IT_number 166
_space_group_name_Hall '-R 3 2"'
loop_
_atom_site_label
_atom_site_type_symbol
_atom_site_fract_x
_atom_site_fract_y
_atom_site_fract_z
Ga1 Ga 0.0000 0.0000 0.0000
Ga2 Ga 0.0409 0.5204 0.5784
Ga3 Ga 0.0867 0.5434 0.3037
Hg1 Hg 0.0000 0.0000 0.1823